A plane-wave DFT calculation with GGA+U was carried out for a relaxed structure of MnPd3F.

a b c (Å): 4.7678 4.7678 4.7678
angles (deg): 90.00 90.00 90.00
Closest atoms and distances in Å follow each position.
Positions (direct):
Mn  0.0000  0.0000  0.0000  6 Pd 2.38
Pd  0.0000  0.5000  0.0000  2 Mn 2.38
Pd  0.0000  0.0000  0.5000  2 Mn 2.38
Pd  0.5000  0.0000  0.0000  2 Mn 2.38
F  0.5000  0.5000  0.5000  12 Pd 3.37

Final energy   -4.2412 eV/atom
Relative energy among the computed polymorphs   656 meV per atom